[1]
{"formula": "NaCa2Co", "functional": "meta-GGA SCAN", "state": "PBEsol geometry", "lattice": [[8.123, 0.000, 0.000], [0.000, 8.123, 0.000], [0.000, 0.000, 6.703]], "species": ["Na", "Na", "Na", "Na", "Ca", "Ca", "Ca", "Ca", "Ca", "Ca", "Ca", "Ca", "Co", "Co", "Co", "Co"], "frac_coords": [[0.000, 0.000, 0.000], [0.000, 0.500, 0.250], [0.500, 0.000, 0.750], [0.500, 0.500, 0.500], [0.172, 0.250, 0.625], [0.250, 0.672, 0.875], [0.250, 0.828, 0.375], [0.328, 0.250, 0.125], [0.672, 0.750, 0.125], [0.750, 0.172, 0.375], [0.750, 0.328, 0.875], [0.828, 0.750, 0.625], [0.000, 0.000, 0.500], [0.000, 0.500, 0.750], [0.500, 0.000, 0.250], [0.500, 0.500, 0.000]], "crystal_system": "tetragonal", "density_g_cm3": 2.43, "n_ef_per_ev_atom": 0.7687, "delta_e_f_ev_per_atom": 0.67}

***

[2]
{"formula": "CaZr3Cd", "functional": "meta-GGA SCAN", "state": "PBEsol geometry", "lattice": [[4.960, 0.000, 0.000], [0.000, 4.960, 0.000], [0.000, 0.000, 4.960]], "species": ["Ca", "Zr", "Zr", "Zr", "Cd"], "frac_coords": [[0.000, 0.000, 0.000], [0.000, 0.000, 0.500], [0.000, 0.500, 0.000], [0.500, 0.000, 0.000], [0.500, 0.500, 0.500]], "polymorph_energy_ev_per_atom": 0.691, "crystal_system": "cubic", "density_g_cm3": 5.80, "n_ef_per_ev_atom": 1.1367, "delta_e_f_ev_per_atom": 1.53}

***

[3]
{"formula": "CuHN2F", "functional": "meta-GGA SCAN", "state": "PBEsol geometry", "lattice": [[2.848, 0.000, 0.000], [0.000, 2.848, 0.000], [0.000, 0.000, 4.958]], "species": ["Cu", "H", "N", "N", "F"], "frac_coords": [[0.000, 0.000, 0.000], [0.500, 0.500, 0.500], [0.000, 0.500, 0.500], [0.500, 0.000, 0.500], [0.500, 0.500, 0.000]], "crystal_system": "tetragonal", "density_g_cm3": 4.60, "n_ef_per_ev_atom": 0.5100, "e_tot_ev_per_atom": -6.9299}

***

[4]
{"formula": "CoOsRh2", "functional": "meta-GGA SCAN", "state": "PBEsol geometry", "lattice": [[8.697, 0.000, 0.000], [0.000, 2.644, 0.000], [-0.822, 0.000, 4.482]], "species": ["Co", "Co", "Os", "Os", "Rh", "Rh", "Rh", "Rh"], "frac_coords": [[0.000, 0.000, 0.000], [0.500, 0.500, 0.000], [0.245, 0.500, 0.248], [0.745, 0.000, 0.248], [0.252, 0.000, 0.761], [0.496, 0.000, 0.488], [0.752, 0.500, 0.761], [0.996, 0.500, 0.488]], "polymorph_energy_ev_per_atom": 0.049, "crystal_system": "monoclinic", "density_g_cm3": 14.66, "n_ef_per_ev_atom": 0.8937, "delta_e_f_ev_per_atom": 0.11}

***

[5]
{"formula": "Co3Os", "functional": "meta-GGA SCAN", "state": "PBEsol geometry", "lattice": [[4.032, 0.000, 0.000], [0.000, 5.001, 0.000], [0.000, 0.000, 4.338]], "species": ["Co", "Co", "Co", "Co", "Co", "Co", "Os", "Os"], "frac_coords": [[0.250, 0.001, 0.164], [0.250, 0.499, 0.164], [0.250, 0.750, 0.667], [0.750, 0.250, 0.333], [0.750, 0.501, 0.836], [0.750, 0.999, 0.836], [0.250, 0.250, 0.667], [0.750, 0.750, 0.333]], "crystal_system": "orthorhombic", "density_g_cm3": 13.94, "n_ef_per_ev_atom": 0.7355, "delta_e_f_ev_per_atom": 0.21}

***

[6]
{"formula": "AgPbSe", "functional": "meta-GGA SCAN", "state": "PBEsol geometry", "lattice": [[3.605, 0.000, 0.000], [0.000, 3.605, 0.000], [0.000, 0.000, 10.375]], "species": ["Ag", "Ag", "Pb", "Pb", "Se", "Se"], "frac_coords": [[0.000, 0.000, 0.000], [0.500, 0.500, 0.500], [0.000, 0.000, 0.684], [0.500, 0.500, 0.184], [0.000, 0.000, 0.382], [0.500, 0.500, 0.882]], "crystal_system": "tetragonal", "density_g_cm3": 9.70, "e_form_raw_ev_per_atom": 0.059, "n_ef_per_ev_atom": 0.7000}

***

[7]
{"formula": "TaInCo", "functional": "meta-GGA SCAN", "state": "PBEsol geometry", "lattice": [[4.373, 0.000, 0.000], [-2.187, 3.787, 0.000], [0.000, 0.000, 2.834]], "species": ["Ta", "In", "Co"], "frac_coords": [[0.000, 0.000, 0.000], [0.333, 0.667, 0.499], [0.667, 0.333, 0.509]], "crystal_system": "trigonal", "density_g_cm3": 12.55, "n_ef_per_ev_atom": 0.4267, "delta_e_f_ev_per_atom": 0.27}

***

[8]
{"formula": "SbIrPb2", "functional": "meta-GGA SCAN", "state": "PBEsol geometry", "lattice": [[3.242, 0.000, 0.000], [0.000, 3.241, 0.000], [-0.034, 0.000, 9.027]], "species": ["Sb", "Ir", "Pb", "Pb"], "frac_coords": [[0.000, 0.000, 0.000], [0.000, 0.000, 0.500], [0.498, 0.500, 0.301], [0.502, 0.500, 0.699]], "crystal_system": "monoclinic", "density_g_cm3": 12.75, "e_form_raw_ev_per_atom": 0.333, "n_ef_per_ev_atom": 0.6855}

***

[9]
{"formula": "GdOF", "functional": "meta-GGA SCAN", "state": "PBEsol geometry", "lattice": [[0.000, 4.438, 5.427], [3.716, 0.000, 5.427], [3.716, 4.438, 0.000]], "species": ["Gd", "Gd", "Gd", "Gd", "O", "O", "O", "O", "F", "F", "F", "F"], "frac_coords": [[0.075, 0.675, 0.075], [0.325, 0.925, 0.325], [0.675, 0.075, 0.675], [0.925, 0.325, 0.925], [0.007, 0.007, 0.743], [0.257, 0.257, 0.993], [0.743, 0.743, 0.007], [0.993, 0.993, 0.257], [0.000, 0.500, 0.500], [0.500, 0.000, 0.500], [0.500, 0.500, 0.000], [0.500, 0.500, 0.500]], "crystal_system": "orthorhombic", "density_g_cm3": 7.13, "e_form_raw_ev_per_atom": -3.989, "n_ef_per_ev_atom": 0.0000}

***

[10]
{"formula": "Sc2CdRh", "functional": "meta-GGA SCAN", "state": "PBEsol geometry", "lattice": [[3.172, 0.000, 0.000], [0.000, 3.275, 0.000], [0.000, 0.000, 7.149]], "species": ["Sc", "Sc", "Cd", "Rh"], "frac_coords": [[0.000, 0.000, 0.219], [0.000, 0.000, 0.781], [0.500, 0.500, 0.500], [0.500, 0.500, 0.000]], "crystal_system": "orthorhombic", "density_g_cm3": 6.82, "n_ef_per_ev_atom": 0.4890, "delta_e_f_ev_per_atom": -0.79}

***

[11]
{"formula": "Ti5Ga3", "functional": "meta-GGA SCAN", "state": "PBEsol geometry", "lattice": [[7.521, 0.000, 0.000], [-3.761, 6.514, 0.000], [0.000, 0.000, 5.221]], "species": ["Ti", "Ti", "Ti", "Ti", "Ti", "Ti", "Ti", "Ti", "Ti", "Ti", "Ga", "Ga", "Ga", "Ga", "Ga", "Ga"], "frac_coords": [[0.000, 0.237, 0.250], [0.000, 0.763, 0.750], [0.237, 0.000, 0.250], [0.237, 0.237, 0.750], [0.333, 0.667, 0.000], [0.333, 0.667, 0.500], [0.667, 0.333, 0.000], [0.667, 0.333, 0.500], [0.763, 0.000, 0.750], [0.763, 0.763, 0.250], [0.000, 0.395, 0.750], [0.000, 0.605, 0.250], [0.395, 0.000, 0.750], [0.395, 0.395, 0.250], [0.605, 0.000, 0.250], [0.605, 0.605, 0.750]], "crystal_system": "hexagonal", "density_g_cm3": 5.82, "n_ef_per_ev_atom": 1.1576, "delta_e_f_ev_per_atom": -0.51}

***

[12]
{"formula": "CdCoBr2", "functional": "meta-GGA SCAN", "state": "PBEsol geometry", "lattice": [[3.826, 0.000, 0.000], [0.000, 3.826, 0.000], [0.000, 0.000, 12.150]], "species": ["Cd", "Cd", "Co", "Co", "Br", "Br", "Br", "Br"], "frac_coords": [[0.000, 0.000, 0.000], [0.500, 0.500, 0.500], [0.000, 0.500, 0.250], [0.500, 0.000, 0.750], [0.000, 0.000, 0.500], [0.000, 0.500, 0.750], [0.500, 0.000, 0.250], [0.500, 0.500, 0.000]], "polymorph_energy_ev_per_atom": 0.196, "crystal_system": "tetragonal", "density_g_cm3": 6.18, "e_form_raw_ev_per_atom": 0.088, "n_ef_per_ev_atom": 0.1849}